Crystalline CoPtSO at its relaxed geometry, computed with PBE with a Hubbard U.

Values from the calculation:
The energy above the most stable polymorph in this dataset is 0.4965 eV per atom. The electronic total energy comes out at -5.04 eV/atom. As for the crystal system: orthorhombic. The value obtained for the total moment is 1.17 μB per formula unit.

Cell lengths 5.7932, 7.4738, 5.2758 Å; angles 90.00, 90.00, 90.00 degrees
Closest atoms and distances in Å follow each position.
Atoms (fractional coordinates):
Co  0.0845  0.2021  0.0000  1 O 1.91
Co  0.4155  0.2021  0.5000  1 O 1.91
Co  0.5845  0.7979  0.0000  1 O 1.91
Co  0.9155  0.7979  0.5000  1 O 1.91
Pt  0.0042  0.3475  0.5612  2 O 2.08-2.21, 1 S 2.21
Pt  0.4958  0.3475  0.0612  2 O 2.08-2.21, 1 S 2.21
Pt  0.5042  0.6525  0.5612  2 O 2.08-2.21, 1 S 2.21
Pt  0.9958  0.6525  0.0612  2 O 2.08-2.21, 1 S 2.21
S  0.0884  0.0625  0.6206  1 Pt 2.21, 3 Co 2.25-2.31
S  0.4116  0.0625  0.1206  1 Pt 2.21, 3 Co 2.25-2.31
S  0.5884  0.9375  0.6206  1 Pt 2.21, 3 Co 2.25-2.31
S  0.9116  0.9375  0.1206  1 Pt 2.21, 3 Co 2.25-2.31
O  0.0855  0.6099  0.6592  1 Co 1.91, 1 Pt 2.08
O  0.4145  0.6099  0.1592  1 Co 1.91, 1 Pt 2.08
O  0.5855  0.3901  0.6592  1 Co 1.91, 1 Pt 2.08
O  0.9145  0.3901  0.1592  1 Co 1.91, 1 Pt 2.08